DFT (PBE with a Hubbard U) results for NaCaInWO6 after structural relaxation.

Cell lengths 8.1214, 8.1214, 8.1214 Å; angles 90.00, 90.00, 90.00 degrees
Space group F-43m (No. 216)
One atom of each set of equivalent atoms:
Na (0.0000, 0.0000, 0.0000) x4
Ca (0.0000, 0.0000, 0.5000) x4
In (0.2500, 0.2500, 0.2500) x4
W (0.2500, 0.2500, 0.7500) x4
O (0.0116, 0.2500, 0.7500) x24

Output
The calculation puts the volume at 13.39 A^3/atom. For the density of states at the Fermi level, the calculation gives 0.00 states/eV per cell. Its total energy is -6.351 eV/atom. The spin magnetization comes out at 0.00 μB per cell.